DFT (PBE) results for a relaxed structure of Tb6Pr2Sm3In.

abc: 6.1637 10.6798 11.8414
angles: 90.00 100.05 90.00
Space group C2/m (No. 12)
Symmetry-distinct sites (fractional):
1 Tb 0.2437 0.0000 0.2509 x4
2 Tb 0.2455 0.1632 0.7482 x8
3 Pr 0.0000 0.3336 0.5000 x4
4 Sm 0.0000 0.1673 0.0000 x4
5 Sm 0.0000 0.5000 0.0000 x2
6 In 0.0000 0.0000 0.5000 x2

Results
As for the spin magnetization: 0.00 Bohr magnetons per cell. The calculation puts the formation energy at -0.692 eV per formula unit. The value obtained for the density of states at the Fermi level is 31.9 states/eV per cell. The value obtained for the volume is 32.0 A^3/atom.

DFT (PBE) results for a relaxed structure of CeScTc2.

abc: 3.3465 3.3465 6.5782
angles: 90.00 90.00 90.00
Space group P4/mmm (No. 123)
Symmetry-distinct sites (fractional):
1 Ce 0.0000 0.0000 0.0000 x1
2 Sc 0.0000 0.0000 0.5000 x1
3 Tc 0.5000 0.5000 0.2419 x2

Results
The calculation puts the relative energy among the computed polymorphs at 48 meV per atom. As for the spin magnetization: 0.00 Bohr magnetons per cell. The calculation puts the formation energy at -0.358 eV per formula unit. The value obtained for the density of states at the Fermi level is 4.8 states/eV per cell. The value obtained for the volume is 18.4 A^3/atom.